[1]
A relaxed structure of K2TaCdPd. Source: the Alexandria database, functional PBE.

Calculated values
space-group type = P4/mmm (123)
calculated formation energy = 1564 meV per atom

Cell and atoms, written as POSCAR:
```
K2TaCdPd
1.0
-0.172 6.348 1.145
-5.263 0.139 -1.562
-1.835 -1.146 6.080
Cd Ta Pd K
1 1 1 2
direct
0.000 0.500 0.000
0.000 0.000 0.000
0.500 0.500 0.500
0.000 0.000 0.500
0.500 0.000 0.000
```

=====

[2]
A relaxed structure of Tb2TmSc3. Source: the Alexandria database, functional PBE.

Calculated values
energy relative to the lowest polymorph listed for this composition = 186 meV/atom
space-group type = P-3m1 (164)
calculated formation energy = 240 meV per atom

Cell and atoms, written as POSCAR:
```
Tb2TmSc3
1.0
6.280 0.000 0.000
-3.140 5.439 0.000
0.000 0.000 10.291
Tb Sc Tm
4 6 2
direct
0.000 0.000 0.000
0.333 0.667 0.564
0.000 0.000 0.500
0.667 0.333 0.436
0.658 0.829 0.248
0.171 0.829 0.248
0.171 0.342 0.248
0.829 0.171 0.752
0.342 0.171 0.752
0.829 0.658 0.752
0.667 0.333 0.062
0.333 0.667 0.938
```

=====

[3]
A relaxed structure of PrNd3Ru. Source: the Alexandria database, functional PBE.

Calculated values
energy relative to the lowest polymorph listed for this composition = 163 meV/atom
space-group type = Pm-3m (221)
calculated formation energy = 22 meV per atom

Cell and atoms, written as POSCAR:
```
PrNd3Ru
1.0
5.561 0.000 0.000
0.000 5.561 0.000
0.000 0.000 5.561
Ru Nd Pr
1 3 1
direct
0.000 0.000 0.000
0.000 0.000 0.500
0.500 0.000 0.000
0.000 0.500 0.000
0.500 0.500 0.500
```

=====

[4]
A relaxed structure of AlSbCl. Source: the Alexandria database, functional PBE.

Calculated values
energy relative to the lowest polymorph listed for this composition = 350 meV/atom
space-group type = P-6m2 (187)

Cell and atoms, written as POSCAR:
```
AlSbCl
1.0
4.840 0.000 0.000
-2.420 4.192 0.000
0.000 0.000 3.518
Sb Cl Al
1 1 1
direct
0.667 0.333 0.834
0.333 0.667 0.333
0.000 0.000 0.833
```